(1)
# YSbTe2 | Alexandria | PBE | optimized geometry
data_YSbTe2
_chemical_formula_sum 'Y1 Sb1 Te2'
_cell_length_a 5.374
_cell_length_b 5.374
_cell_length_c 3.877
_cell_angle_alpha 90.00
_cell_angle_beta 90.00
_cell_angle_gamma 90.00
_symmetry_space_group_name_H-M 'P 4/m m m'
_symmetry_Int_Tables_number 123
_symmetry_space_group_name_Hall '-P 4 2'
loop_
_atom_site_label
_atom_site_fract_x
_atom_site_fract_y
_atom_site_fract_z
_atom_site_occupancy
Y1 0.000 0.000 0.000 1
Sb1 0.500 0.500 0.000 1
Te1 0.000 0.500 0.500 1
# total moment: 0.000 μB/cell
# D(E_F): 2.4 states/eV/cell
# energy relative to the elements, uncorrected: -2.2 eV/f.u.
# electronic total energy: -19.07 eV/cell

---

(2)
# Y2SbTe | Alexandria | PBE | optimized geometry
data_Y2SbTe
_chemical_formula_sum 'Y4 Sb2 Te2'
_cell_length_a 7.590
_cell_length_b 4.377
_cell_length_c 7.600
_cell_angle_alpha 90.00
_cell_angle_beta 109.32
_cell_angle_gamma 90.00
_symmetry_space_group_name_H-M 'C 1 2/m 1'
_symmetry_Int_Tables_number 12
_symmetry_space_group_name_Hall '-C 2y'
loop_
_atom_site_label
_atom_site_fract_x
_atom_site_fract_y
_atom_site_fract_z
_atom_site_occupancy
Y1 0.246 0.000 0.238 1
Sb1 0.000 0.500 0.000 1
Te1 0.000 0.000 0.500 1
# total moment: 0.000 μB/cell
# D(E_F): 3.6 states/eV/cell
# relative energy among the computed polymorphs: 0.000 eV/atom
# energy relative to the elements, uncorrected: -5.1 eV/f.u.
# electronic total energy: -50.66 eV/cell

---

(3)
# YSb2Te | Alexandria | PBE | optimized geometry
data_YSb2Te
_chemical_formula_sum 'Y1 Sb2 Te1'
_cell_length_a 4.349
_cell_length_b 4.349
_cell_length_c 6.054
_cell_angle_alpha 90.00
_cell_angle_beta 90.00
_cell_angle_gamma 90.00
_symmetry_space_group_name_H-M 'P 4/m m m'
_symmetry_Int_Tables_number 123
_symmetry_space_group_name_Hall '-P 4 2'
loop_
_atom_site_label
_atom_site_fract_x
_atom_site_fract_y
_atom_site_fract_z
_atom_site_occupancy
Y1 0.000 0.000 0.000 1
Sb1 0.500 0.500 0.240 1
Te1 0.000 0.000 0.500 1
# total moment: 0.000 μB/cell
# D(E_F): 1.7 states/eV/cell
# energy relative to the elements, uncorrected: -1.9 eV/f.u.
# electronic total energy: -19.72 eV/cell

---

(4)
# YSbTe2 | Alexandria | PBE | optimized geometry
data_YSbTe2
_chemical_formula_sum 'Y4 Sb4 Te8'
_cell_length_a 7.694
_cell_length_b 7.694
_cell_length_c 7.694
_cell_angle_alpha 90.00
_cell_angle_beta 90.00
_cell_angle_gamma 90.00
_symmetry_space_group_name_H-M 'F -4 3 m'
_symmetry_Int_Tables_number 216
_symmetry_space_group_name_Hall 'F -4 2 3'
loop_
_atom_site_label
_atom_site_fract_x
_atom_site_fract_y
_atom_site_fract_z
_atom_site_occupancy
Y1 0.000 0.000 0.000 1
Sb1 0.250 0.250 0.750 1
Te1 0.000 0.000 0.500 1
Te2 0.250 0.250 0.250 1
# total moment: 0.000 μB/cell
# D(E_F): 24.6 states/eV/cell
# energy relative to the elements, uncorrected: -1.0 eV/f.u.
# electronic total energy: -71.33 eV/cell

---

(5)
# Y2SbTe | Alexandria | PBE | optimized geometry
data_Y2SbTe
_chemical_formula_sum 'Y2 Sb1 Te1'
_cell_length_a 3.747
_cell_length_b 3.883
_cell_length_c 7.689
_cell_angle_alpha 90.00
_cell_angle_beta 96.75
_cell_angle_gamma 90.00
_symmetry_space_group_name_H-M 'P 1 2/m 1'
_symmetry_Int_Tables_number 10
_symmetry_space_group_name_Hall '-P 2y'
loop_
_atom_site_label
_atom_site_fract_x
_atom_site_fract_y
_atom_site_fract_z
_atom_site_occupancy
Y1 0.037 0.000 0.256 1
Sb1 0.500 0.500 0.500 1
Te1 0.500 0.500 0.000 1
# total moment: 0.000 μB/cell
# D(E_F): 2.8 states/eV/cell
# relative energy among the computed polymorphs: 0.272 eV/atom
# energy relative to the elements, uncorrected: -4.1 eV/f.u.
# electronic total energy: -24.24 eV/cell

---

(6)
# Y10Sb3Te3 | Alexandria | PBE | optimized geometry
data_Y10Sb3Te3
_chemical_formula_sum 'Y10 Sb3 Te3'
_cell_length_a 9.0254
_cell_length_b 9.0254
_cell_length_c 6.2336
_cell_angle_alpha 90.00
_cell_angle_beta 90.00
_cell_angle_gamma 120.00
_symmetry_space_group_name_H-M 'P -6 2 m'
_symmetry_Int_Tables_number 189
_symmetry_space_group_name_Hall 'P -6 -2'
loop_
_atom_site_label
_atom_site_fract_x
_atom_site_fract_y
_atom_site_fract_z
_atom_site_occupancy
Y1 0.0000 0.2517 0.0000 1
Y2 0.0000 0.7477 0.5000 1
Y3 0.3333 0.6667 0.2482 1
Sb1 0.0000 0.6131 0.0000 1
Te1 0.0000 0.3859 0.5000 1
# total moment: 0.001 μB/cell
# D(E_F): 9.8 states/eV/cell
# energy relative to the elements, uncorrected: -15.6 eV/f.u.
# electronic total energy: -102.02 eV/cell

---

(7)
# YSbTe2 | Alexandria | PBE | optimized geometry
data_YSbTe2
_chemical_formula_sum 'Y2 Sb2 Te4'
_cell_length_a 4.161
_cell_length_b 4.191
_cell_length_c 15.726
_cell_angle_alpha 90.00
_cell_angle_beta 90.00
_cell_angle_gamma 90.00
_symmetry_space_group_name_H-M 'I m m 2'
_symmetry_Int_Tables_number 44
_symmetry_space_group_name_Hall 'I 2 -2'
loop_
_atom_site_label
_atom_site_fract_x
_atom_site_fract_y
_atom_site_fract_z
_atom_site_occupancy
Y1 0.000 0.000 0.000 1
Sb1 0.000 0.500 0.813 1
Te1 0.000 0.000 0.571 1
Te2 0.000 0.500 0.349 1
# total moment: 0.000 μB/cell
# D(E_F): 1.7 states/eV/cell
# energy relative to the elements, uncorrected: -3.0 eV/f.u.
# electronic total energy: -39.67 eV/cell

---

(8)
# YSb2Te | Alexandria | PBE | optimized geometry
data_YSb2Te
_chemical_formula_sum 'Y4 Sb8 Te4'
_cell_length_a 4.378
_cell_length_b 4.378
_cell_length_c 25.401
_cell_angle_alpha 90.00
_cell_angle_beta 90.00
_cell_angle_gamma 90.00
_symmetry_space_group_name_H-M 'I -4 2 d'
_symmetry_Int_Tables_number 122
_symmetry_space_group_name_Hall 'I -4 2bw'
loop_
_atom_site_label
_atom_site_fract_x
_atom_site_fract_y
_atom_site_fract_z
_atom_site_occupancy
Y1 0.000 0.000 0.000 1
Sb1 0.217 0.250 0.125 1
Te1 0.000 0.000 0.500 1
# total moment: 0.000 μB/cell
# D(E_F): 7.3 states/eV/cell
# energy relative to the elements, uncorrected: -2.1 eV/f.u.
# electronic total energy: -79.77 eV/cell

---

(9)
# YSb2Te | Alexandria | PBE | optimized geometry
data_YSb2Te
_chemical_formula_sum 'Y4 Sb8 Te4'
_cell_length_a 6.366
_cell_length_b 8.917
_cell_length_c 8.942
_cell_angle_alpha 90.00
_cell_angle_beta 90.00
_cell_angle_gamma 90.00
_symmetry_space_group_name_H-M 'F m m m'
_symmetry_Int_Tables_number 69
_symmetry_space_group_name_Hall '-F 2 2'
loop_
_atom_site_label
_atom_site_fract_x
_atom_site_fract_y
_atom_site_fract_z
_atom_site_occupancy
Y1 0.000 0.000 0.000 1
Sb1 0.000 0.250 0.250 1
Te1 0.000 0.000 0.500 1
# total moment: 0.000 μB/cell
# D(E_F): 1.2 states/eV/cell
# energy relative to the elements, uncorrected: -2.0 eV/f.u.
# electronic total energy: -79.34 eV/cell

---

(10)
# Y3SbTe | Alexandria | PBE | optimized geometry
data_Y3SbTe
_chemical_formula_sum 'Y3 Sb1 Te1'
_cell_length_a 5.602
_cell_length_b 5.602
_cell_length_c 5.602
_cell_angle_alpha 90.00
_cell_angle_beta 90.00
_cell_angle_gamma 90.00
_symmetry_space_group_name_H-M 'P m -3 m'
_symmetry_Int_Tables_number 221
_symmetry_space_group_name_Hall '-P 4 2 3'
loop_
_atom_site_label
_atom_site_fract_x
_atom_site_fract_y
_atom_site_fract_z
_atom_site_occupancy
Y1 0.000 0.000 0.500 1
Sb1 0.500 0.500 0.500 1
Te1 0.000 0.000 0.000 1
# total moment: 0.000 μB/cell
# D(E_F): 9.6 states/eV/cell
# relative energy among the computed polymorphs: 0.574 eV/atom
# energy relative to the elements, uncorrected: -0.9 eV/f.u.
# electronic total energy: -27.53 eV/cell

---

(11)
# YSb2Te | Alexandria | PBE | optimized geometry
data_YSb2Te
_chemical_formula_sum 'Y4 Sb8 Te4'
_cell_length_a 7.670
_cell_length_b 7.670
_cell_length_c 7.670
_cell_angle_alpha 90.00
_cell_angle_beta 90.00
_cell_angle_gamma 90.00
_symmetry_space_group_name_H-M 'F -4 3 m'
_symmetry_Int_Tables_number 216
_symmetry_space_group_name_Hall 'F -4 2 3'
loop_
_atom_site_label
_atom_site_fract_x
_atom_site_fract_y
_atom_site_fract_z
_atom_site_occupancy
Y1 0.000 0.000 0.000 1
Sb1 0.000 0.000 0.500 1
Sb2 0.250 0.250 0.250 1
Te1 0.250 0.250 0.750 1
# total moment: 0.002 μB/cell
# D(E_F): 21.8 states/eV/cell
# energy relative to the elements, uncorrected: -1.2 eV/f.u.
# electronic total energy: -76.21 eV/cell

---

(12)
# YSbTe2 | Alexandria | PBE | optimized geometry
data_YSbTe2
_chemical_formula_sum 'Y2 Sb2 Te4'
_cell_length_a 4.495
_cell_length_b 4.495
_cell_length_c 11.199
_cell_angle_alpha 90.00
_cell_angle_beta 90.00
_cell_angle_gamma 90.00
_symmetry_space_group_name_H-M 'I -4 m 2'
_symmetry_Int_Tables_number 119
_symmetry_space_group_name_Hall 'I -4 -2'
loop_
_atom_site_label
_atom_site_fract_x
_atom_site_fract_y
_atom_site_fract_z
_atom_site_occupancy
Y1 0.000 0.000 0.000 1
Sb1 0.000 0.500 0.750 1
Te1 0.000 0.000 0.500 1
Te2 0.000 0.500 0.250 1
# total moment: 0.000 μB/cell
# D(E_F): 4.2 states/eV/cell
# energy relative to the elements, uncorrected: -2.2 eV/f.u.
# electronic total energy: -38.23 eV/cell

---

(13)
# Y7Sb2Te2 | Alexandria | PBE | optimized geometry
data_Y7Sb2Te2
_chemical_formula_sum 'Y14 Sb4 Te4'
_cell_length_a 9.245
_cell_length_b 10.770
_cell_length_c 6.986
_cell_angle_alpha 90.00
_cell_angle_beta 90.00
_cell_angle_gamma 90.00
_symmetry_space_group_name_H-M 'C m m m'
_symmetry_Int_Tables_number 65
_symmetry_space_group_name_Hall '-C 2 2'
loop_
_atom_site_label
_atom_site_fract_x
_atom_site_fract_y
_atom_site_fract_z
_atom_site_occupancy
Y1 0.000 0.000 0.000 1
Y2 0.000 0.500 0.262 1
Y3 0.250 0.250 0.267 1
Sb1 0.204 0.000 0.500 1
Te1 0.000 0.278 0.000 1
# total moment: 0.001 μB/cell
# D(E_F): 24.3 states/eV/cell
# energy relative to the elements, uncorrected: -6.1 eV/f.u.
# electronic total energy: -131.78 eV/cell

---

(14)
# Y4SbTe2 | Alexandria | PBE | optimized geometry
data_Y4SbTe2
_chemical_formula_sum 'Y16 Sb4 Te8'
_cell_length_a 9.552
_cell_length_b 9.552
_cell_length_c 9.329
_cell_angle_alpha 90.00
_cell_angle_beta 90.00
_cell_angle_gamma 90.00
_symmetry_space_group_name_H-M 'I 41/a m d'
_symmetry_Int_Tables_number 141
loop_
_symmetry_equiv_pos_as_xyz
'x,y,z'
'-x,-y,-z'
'-y+1/4,x+3/4,z+1/4'
'y+1/4,-x+3/4,-z+1/4'
'-x+1/2,-y,z+1/2'
'x+1/2,y,-z+1/2'
'y+1/4,-x+1/4,z+3/4'
'-y+1/4,x+1/4,-z+3/4'
'x,-y,-z'
'-x,y,z'
'-y+1/4,-x+1/4,-z+3/4'
'y+1/4,x+1/4,z+3/4'
'-x+1/2,y,-z+1/2'
'x+1/2,-y,z+1/2'
'y+1/4,x+3/4,-z+1/4'
'-y+1/4,-x+3/4,z+1/4'
'x+1/2,y+1/2,z+1/2'
'-x+1/2,-y+1/2,-z+1/2'
'-y+3/4,x+1/4,z+3/4'
'y+3/4,-x+1/4,-z+3/4'
'-x,-y+1/2,z'
'x,y+1/2,-z'
'y+3/4,-x+3/4,z+1/4'
'-y+3/4,x+3/4,-z+1/4'
'x+1/2,-y+1/2,-z+1/2'
'-x+1/2,y+1/2,z+1/2'
'-y+3/4,-x+3/4,-z+1/4'
'y+3/4,x+3/4,z+1/4'
'-x,y+1/2,-z'
'x,-y+1/2,z'
'y+3/4,x+1/4,-z+3/4'
'-y+3/4,-x+1/4,z+3/4'
loop_
_atom_site_label
_atom_site_fract_x
_atom_site_fract_y
_atom_site_fract_z
_atom_site_occupancy
Y1 0.000 0.059 0.181 1
Sb1 0.000 0.250 0.875 1
Te1 0.000 0.000 0.500 1
# total moment: 0.000 μB/cell
# D(E_F): 20.8 states/eV/cell
# relative energy among the computed polymorphs: 0.035 eV/atom
# energy relative to the elements, uncorrected: -6.9 eV/f.u.
# electronic total energy: -172.81 eV/cell

---

(15)
# Y4Sb3Te | Alexandria | PBE | optimized geometry
data_Y4Sb3Te
_chemical_formula_sum 'Y4 Sb3 Te1'
_cell_length_a 4.386
_cell_length_b 6.201
_cell_length_c 8.774
_cell_angle_alpha 90.00
_cell_angle_beta 90.00
_cell_angle_gamma 90.00
_symmetry_space_group_name_H-M 'P m m m'
_symmetry_Int_Tables_number 47
_symmetry_space_group_name_Hall '-P 2 2'
loop_
_atom_site_label
_atom_site_fract_x
_atom_site_fract_y
_atom_site_fract_z
_atom_site_occupancy
Y1 0.000 0.000 0.000 1
Y2 0.000 0.000 0.500 1
Y3 0.500 0.500 0.242 1
Sb1 0.000 0.500 0.000 1
Sb2 0.500 0.000 0.252 1
Te1 0.000 0.500 0.500 1
# total moment: 0.000 μB/cell
# D(E_F): 2.5 states/eV/cell
# relative energy among the computed polymorphs: 0.000 eV/atom
# energy relative to the elements, uncorrected: -9.9 eV/f.u.
# electronic total energy: -51.30 eV/cell

---

(16)
# YSbTe2 | Alexandria | PBE | optimized geometry
data_YSbTe2
_chemical_formula_sum 'Y3 Sb3 Te6'
_cell_length_a 4.1927
_cell_length_b 4.1927
_cell_length_c 29.0314
_cell_angle_alpha 90.00
_cell_angle_beta 90.00
_cell_angle_gamma 120.00
_symmetry_space_group_name_H-M 'R -3 m'
_symmetry_Int_Tables_number 166
_symmetry_space_group_name_Hall '-R 3 2"'
loop_
_atom_site_label
_atom_site_fract_x
_atom_site_fract_y
_atom_site_fract_z
_atom_site_occupancy
Y1 0.0000 0.0000 0.0000 1
Sb1 0.0000 0.0000 0.5000 1
Te1 0.0000 0.0000 0.3971 1
# total moment: 0.000 μB/cell
# D(E_F): 3.6 states/eV/cell
# energy relative to the elements, uncorrected: -2.5 eV/f.u.
# electronic total energy: -58.10 eV/cell

---

(17)
# Y2SbTe | Alexandria | PBE | optimized geometry
data_Y2SbTe
_chemical_formula_sum 'Y6 Sb3 Te3'
_cell_length_a 4.2948
_cell_length_b 4.2948
_cell_length_c 22.6413
_cell_angle_alpha 90.00
_cell_angle_beta 90.00
_cell_angle_gamma 120.00
_symmetry_space_group_name_H-M 'R 3 m'
_symmetry_Int_Tables_number 160
_symmetry_space_group_name_Hall 'R 3 -2"'
loop_
_atom_site_label
_atom_site_fract_x
_atom_site_fract_y
_atom_site_fract_z
_atom_site_occupancy
Y1 0.0000 0.0000 0.0000 1
Y2 0.0000 0.0000 0.1784 1
Sb1 0.0000 0.0000 0.5875 1
Te1 0.0000 0.0000 0.7569 1
# total moment: 0.003 μB/cell
# D(E_F): 9.5 states/eV/cell
# relative energy among the computed polymorphs: 0.046 eV/atom
# energy relative to the elements, uncorrected: -5.0 eV/f.u.
# electronic total energy: -75.44 eV/cell

---

(18)
# YSbTe2 | Alexandria | PBE | optimized geometry
data_YSbTe2
_chemical_formula_sum 'Y3 Sb3 Te6'
_cell_length_a 4.0854
_cell_length_b 4.0854
_cell_length_c 28.0028
_cell_angle_alpha 90.00
_cell_angle_beta 90.00
_cell_angle_gamma 120.00
_symmetry_space_group_name_H-M 'R 3 m'
_symmetry_Int_Tables_number 160
_symmetry_space_group_name_Hall 'R 3 -2"'
loop_
_atom_site_label
_atom_site_fract_x
_atom_site_fract_y
_atom_site_fract_z
_atom_site_occupancy
Y1 0.0000 0.0000 0.0000 1
Sb1 0.0000 0.0000 0.7520 1
Te1 0.0000 0.0000 0.2701 1
Te2 0.0000 0.0000 0.4881 1
# total moment: 0.000 μB/cell
# D(E_F): 10.7 states/eV/cell
# energy relative to the elements, uncorrected: -1.6 eV/f.u.
# electronic total energy: -55.35 eV/cell

---

(19)
# Y2SbTe | Alexandria | PBE | optimized geometry
data_Y2SbTe
_chemical_formula_sum 'Y4 Sb2 Te2'
_cell_length_a 7.678
_cell_length_b 7.767
_cell_length_c 3.746
_cell_angle_alpha 90.00
_cell_angle_beta 97.51
_cell_angle_gamma 90.00
_symmetry_space_group_name_H-M 'C 1 2/m 1'
_symmetry_Int_Tables_number 12
_symmetry_space_group_name_Hall '-C 2y'
loop_
_atom_site_label
_atom_site_fract_x
_atom_site_fract_y
_atom_site_fract_z
_atom_site_occupancy
Y1 0.250 0.250 0.000 1
Sb1 0.000 0.000 0.500 1
Te1 0.000 0.500 0.500 1
# total moment: 0.010 μB/cell
# D(E_F): 6.0 states/eV/cell
# relative energy among the computed polymorphs: 0.277 eV/atom
# energy relative to the elements, uncorrected: -4.0 eV/f.u.
# electronic total energy: -48.44 eV/cell

---

(20)
# YSb2Te | Alexandria | PBE | optimized geometry
data_YSb2Te
_chemical_formula_sum 'Y2 Sb4 Te2'
_cell_length_a 4.708
_cell_length_b 4.279
_cell_length_c 11.535
_cell_angle_alpha 90.00
_cell_angle_beta 90.00
_cell_angle_gamma 90.00
_symmetry_space_group_name_H-M 'A m m 2'
_symmetry_Int_Tables_number 38
_symmetry_space_group_name_Hall 'A 2 -2'
loop_
_atom_site_label
_atom_site_fract_x
_atom_site_fract_y
_atom_site_fract_z
_atom_site_occupancy
Y1 0.000 0.000 0.000 1
Sb1 0.500 0.000 0.195 1
Sb2 0.500 0.000 0.441 1
Te1 0.000 0.000 0.710 1
# total moment: 0.000 μB/cell
# D(E_F): 1.7 states/eV/cell
# energy relative to the elements, uncorrected: -2.5 eV/f.u.
# electronic total energy: -40.63 eV/cell